#a
Here is a relaxed CdFeF4 crystal from Alexandria. Energies are from GGA+U.

Output
theoretical density	4.678	g/cm3

a = 8.152 Å, b = 6.480 Å, c = 6.565 Å
α = 90.00°, β = 90.00°, γ = 90.00°
Space group Cmcm (No. 63)
One atom of each set of equivalent atoms:
Cd 0.000 0.001 0.250 [4 per cell]
Fe 0.000 0.499 0.750 [4 per cell]
F 0.000 0.264 0.501 [8 per cell]
F 0.238 0.498 0.250 [8 per cell]

***

#b
Here is a relaxed CdFeF4 crystal from Alexandria. Energies are from GGA+U.

Output
theoretical density	5.281	g/cm3

a = 5.349 Å, b = 7.403 Å, c = 7.759 Å
α = 90.00°, β = 90.00°, γ = 90.00°
Space group Pbcm (No. 57)
One atom of each set of equivalent atoms:
Cd 0.025 0.182 0.250 [4 per cell]
Fe 0.500 0.000 0.000 [4 per cell]
F 0.169 0.589 0.590 [8 per cell]
F 0.300 0.250 0.000 [4 per cell]
F 0.346 0.536 0.250 [4 per cell]

***

Least stable structure: #a